Entry from Alexandria: CsIr6S8 after structural relaxation (GGA-PBE).

Output
- formation energy from raw total energies (meV per atom) = -162
- density of states at the Fermi level (states/eV/atom) = 0.3441
- DFT total energy (eV per atom) = -5.9649

a b c (Å): 6.708 6.708 6.708
angles (deg): 89.51 89.51 89.51
Fractional coordinates of all 15 atoms:
S1 0.736 0.736 0.736
S2 0.715 0.392 0.146
S3 0.392 0.146 0.715
S4 0.854 0.285 0.608
S5 0.264 0.264 0.264
S6 0.285 0.608 0.854
S7 0.608 0.854 0.285
S8 0.146 0.715 0.392
Ir1 0.572 0.188 0.402
Ir2 0.402 0.572 0.188
Ir3 0.812 0.598 0.428
Ir4 0.188 0.402 0.572
Ir5 0.428 0.812 0.598
Ir6 0.598 0.428 0.812
Cs1 0.000 0.000 0.000